Material: LaTiB3
Method: DFT, meta-GGA SCAN
State: single point on PBEsol structure

Output
Its density of states at the Fermi level is 0.25 states/eV/atom. The size of the total moment comes out at 0.0 μB/cell. For the formation energy from the elements, the calculation gives 0.30 eV per atom.

Cell: 4.2205 4.2205 4.2205 Å, 90.00 90.00 90.00°
With the nearest neighbours (Å) after each atom.
Element x y z (fractional)
B 0.0000 0.0000 0.5000  2 Ti 2.11
B 0.5000 0.0000 0.0000  2 Ti 2.11
B 0.0000 0.5000 0.0000  2 Ti 2.11
Ti 0.0000 0.0000 0.0000  6 B 2.11
La 0.5000 0.5000 0.5000  12 B 2.98